(1)
First-principles (GGA-PBE) data for La8CdAg2 after structural relaxation, as listed in Alexandria.

Output
E ... -0.15843 hartree per atom
Distance to the lowest polymorph of the same formula ... 5 meV per atom
Calculated formation energy ... -126.0 meV/atom

Cell: 5.3398 7.5831 9.8171 Å, 108.84 105.78 90.00°
Last column: nearest neighbours and their distance in Å.
Fractional positions:
Ag  0.8212  0.2966  0.6423  5 La 3.02-3.35
Ag  0.1788  0.7034  0.3577  5 La 3.02-3.35
La  0.9753  0.2370  0.9505  1 Ag 3.09, 2 Cd 3.34
La  0.6722  0.9801  0.3444  1 Ag 3.02, 1 Cd 3.31
La  0.0247  0.7630  0.0495  1 Ag 3.09, 2 Cd 3.34
La  0.4122  0.5327  0.8245  2 Ag 3.35, 1 Cd 3.37, 6 La 3.49-3.74
La  0.5878  0.4673  0.1755  2 Ag 3.35, 1 Cd 3.37, 6 La 3.49-3.74
La  0.3278  0.0199  0.6556  1 Ag 3.02, 1 Cd 3.31
La  0.8080  0.6901  0.6161  1 Ag 3.08
La  0.1920  0.3099  0.3839  1 Ag 3.08
Cd  0.5000  0.0000  0.0000  8 La 3.31-3.37



(2)
First-principles (GGA-PBE) data for KMn after structural relaxation, as listed in Alexandria.

Output
E ... -0.16050 hartree per atom
Distance to the lowest polymorph of the same formula ... 21 meV per atom
Calculated formation energy ... 766.1 meV/atom

Cell: 4.0145 6.2838 16.8195 Å, 90.00 90.00 90.00°
Last column: nearest neighbours and their distance in Å.
Fractional positions:
Mn  0.5000  0.7584  0.0000  4 Mn 2.42
Mn  0.0000  0.7570  0.9193  2 Mn 2.42
Mn  0.5000  0.2430  0.5807  2 Mn 2.42
Mn  0.5000  0.2430  0.4193  2 Mn 2.42
Mn  0.0000  0.7570  0.0807  2 Mn 2.42
Mn  0.0000  0.2416  0.5000  4 Mn 2.42
K  0.0000  0.2578  0.0000  8 Mn 3.42-3.73, 4 K 3.81
K  0.5000  0.2496  0.1926  8 K 3.81-4.20, 5 Mn 3.81-4.21
K  0.0000  0.7504  0.6926  8 K 3.81-4.20, 5 Mn 3.81-4.21
K  0.0000  0.7504  0.3074  8 K 3.81-4.20, 5 Mn 3.81-4.21
K  0.5000  0.2496  0.8074  8 K 3.81-4.20, 5 Mn 3.81-4.21
K  0.5000  0.7422  0.5000  8 Mn 3.42-3.73, 4 K 3.81



(3)
First-principles (GGA-PBE) data for Ho3ZnSi6Ni2 after structural relaxation, as listed in Alexandria.

Output
E_form (uncorrected) ... -263 meV/atom
E ... -0.19066 hartree per atom

Cell: 5.5669 5.5669 8.1542 Å, 90.00 90.00 120.00°
Last column: nearest neighbours and their distance in Å.
Fractional positions:
Ni  0.3333  0.6667  0.0425  3 Si 2.33
Ni  0.6667  0.3333  0.9575  3 Si 2.33
Ho  0.6667  0.3333  0.4007  9 Si 2.98-3.03, 3 Zn 3.31
Ho  0.3333  0.6667  0.5993  9 Si 2.98-3.03, 3 Zn 3.31
Ho  0.0000  0.0000  0.0000  6 Si 2.85
Si  0.8126  0.1874  0.7291  1 Ni 2.33, 2 Si 2.44, 1 Zn 2.60
Si  0.1874  0.8126  0.2709  1 Ni 2.33, 2 Si 2.44, 1 Zn 2.60
Si  0.8126  0.6253  0.7291  1 Ni 2.33, 2 Si 2.44, 1 Zn 2.60
Si  0.3747  0.1874  0.7291  1 Ni 2.33, 2 Si 2.44, 1 Zn 2.60
Si  0.1874  0.3747  0.2709  1 Ni 2.33, 2 Si 2.44, 1 Zn 2.60
Si  0.6253  0.8126  0.2709  1 Ni 2.33, 2 Si 2.44, 1 Zn 2.60
Zn  0.0000  0.0000  0.5000  6 Si 2.60



(4)
First-principles (GGA-PBE) data for ZnTeI2Cl after structural relaxation, as listed in Alexandria.

Output
E_form (uncorrected) ... 226 meV/atom
E ... -0.06052 hartree per atom
Distance to the lowest polymorph of the same formula ... 0 meV per atom

Cell: 5.4547 5.4547 5.4800 Å, 90.00 90.00 90.00°
Last column: nearest neighbours and their distance in Å.
Fractional positions:
Cl  0.5000  0.5000  0.5000  4 Te 3.86, 8 I 3.87
I  0.5000  0.0000  0.0000  2 Zn 2.73
I  0.0000  0.5000  0.0000  2 Zn 2.73
Te  0.0000  0.0000  0.5000  2 Zn 2.74
Zn  0.0000  0.0000  0.0000  4 I 2.73, 2 Te 2.74



> Which value of E does entry 3 give?

-0.19066 hartree per atom